3
Lattice="-2.244 2.419 0.736 -0.321 -3.076 1.366 4.216 2.143 5.817" Properties=species:S:1:pos:R:3 comment="Y2Mn meta-GGA SCAN PBEsol geometry" ef_ev_per_atom=0.164 e_tot_ev_per_cell=-73.45 pbc="T T T"
Mn 0.000 0.000 0.000
Y 1.365 2.096 5.041
Y 0.286 -0.610 2.878